The following is a GGA+U calculation of an optimized crystal structure of ErCoAsO, from OQMD via LeMat-Bulk.

Cell lengths 3.912, 3.912, 7.819 Å; angles 90.00, 90.00, 90.00 degrees
Fractional coordinates of all 8 atoms:
As (0.000, 0.500, 0.348)
Er (0.000, 0.500, 0.862)
Co (0.000, 0.000, 0.500)
O (0.000, 0.000, 0.000)
Er (0.500, 0.000, 0.138)
O (0.500, 0.500, 0.000)
As (0.500, 0.000, 0.652)
Co (0.500, 0.500, 0.500)

Computed properties:
The value obtained for the total energy is -51.72 eV per cell. The excess energy over the best structure of this formula in the dataset is 0 meV/atom.